(1)
Material: Ac9Sm4Hg11
Method: DFT, PBE
State: optimized geometry

Properties
magnetic moment = 0.57 μB per cell
energy of formation = -373 meV per atom
VASP energy = -0.2087 Ry/atom

Cell lengths 16.515, 24.228, 3.829 Å; angles 90.00, 90.00, 90.00 degrees
Space group Cmmm (No. 65)
Inequivalent atoms, fractional coordinates:
Ac  0.000  0.000  0.000 x2
Ac  0.115  0.243  0.000 x8
Ac  0.127  0.418  0.000 x8
Sm  0.151  0.096  0.000 x8
Hg  0.000  0.135  0.500 x4
Hg  0.000  0.334  0.500 x4
Hg  0.000  0.500  0.500 x2
Hg  0.221  0.000  0.500 x4
Hg  0.241  0.325  0.500 x8

***

(2)
Material: AcSmHg
Method: DFT, PBE
State: optimized geometry

Properties
magnetic moment = 0.00 μB per cell
energy of formation = -191 meV per atom
energy above the most stable polymorph in this dataset = 0.121 eV per atom
VASP energy = -0.2377 Ry/atom

Cell lengths 5.4032, 5.4032, 4.0442 Å; angles 90.00, 90.00, 120.00 degrees
Space group P3m1 (No. 156)
Inequivalent atoms, fractional coordinates:
Ac  0.0000  0.0000  0.0000 x1
Sm  0.6667  0.3333  0.4992 x1
Hg  0.3333  0.6667  0.5018 x1

***

(3)
Material: Ac3Sm2Hg2
Method: DFT, PBE
State: optimized geometry

Properties
magnetic moment = 0.00 μB per cell
energy of formation = -94 meV per atom
VASP energy = -0.2418 Ry/atom

Cell lengths 5.109, 25.108, 3.770 Å; angles 90.00, 90.00, 90.00 degrees
Space group Cmmm (No. 65)
Inequivalent atoms, fractional coordinates:
Ac  0.000  0.000  0.000 x2
Ac  0.000  0.144  0.000 x4
Sm  0.000  0.286  0.500 x4
Hg  0.000  0.425  0.500 x4

***

(4)
Material: Ac4SmHg5
Method: DFT, PBE
State: optimized geometry

Properties
magnetic moment = 1.38 μB per cell
energy of formation = -467 meV per atom
VASP energy = -0.2009 Ry/atom

Cell lengths 3.993, 3.993, 20.018 Å; angles 90.00, 90.00, 90.00 degrees
Space group P4/mmm (No. 123)
Inequivalent atoms, fractional coordinates:
Ac  0.000  0.000  0.103 x2
Ac  0.000  0.000  0.309 x2
Sm  0.000  0.000  0.500 x1
Hg  0.500  0.500  0.000 x1
Hg  0.500  0.500  0.205 x2
Hg  0.500  0.500  0.414 x2

***

(5)
Material: AcSmHg
Method: DFT, PBE
State: optimized geometry

Properties
magnetic moment = 0.00 μB per cell
energy of formation = -313 meV per atom
energy above the most stable polymorph in this dataset = 0.000 eV per atom
VASP energy = -0.2466 Ry/atom

Cell lengths 5.051, 5.051, 8.072 Å; angles 90.00, 90.00, 90.00 degrees
Space group P4/nmm (No. 129, origin choice 2)
Inequivalent atoms, fractional coordinates:
Ac  0.250  0.250  0.134 x2
Sm  0.250  0.750  0.500 x2
Hg  0.250  0.250  0.739 x2

***

(6)
Material: AcSm2Sn2Hg2
Method: DFT, PBE
State: optimized geometry

Properties
magnetic moment = 0.00 μB per cell
energy of formation = -388 meV per atom
VASP energy = -0.2612 Ry/atom

Cell lengths 5.0891, 5.0891, 28.1340 Å; angles 90.00, 90.00, 120.00 degrees
Space group R-3m (No. 166, hexagonal axes)
Inequivalent atoms, fractional coordinates:
Ac  0.0000  0.0000  0.0000 x3
Sm  0.0000  0.0000  0.1325 x6
Sn  0.0000  0.0000  0.2639 x6
Hg  0.0000  0.0000  0.4335 x6

***

(7)
Material: AcTbSmHg
Method: DFT, PBE
State: optimized geometry

Properties
magnetic moment = 0.00 μB per cell
energy of formation = -211 meV per atom
energy above the most stable polymorph in this dataset = 0.000 eV per atom
VASP energy = -0.2684 Ry/atom

Cell lengths 3.792, 3.792, 8.973 Å; angles 90.00, 90.00, 90.00 degrees
Space group P4mm (No. 99)
Inequivalent atoms, fractional coordinates:
Ac  0.000  0.000  0.000 x1
Tb  0.500  0.500  0.291 x1
Sm  0.500  0.500  0.705 x1
Hg  0.000  0.000  0.490 x1

***

(8)
Material: AcTbSmHg
Method: DFT, PBE
State: optimized geometry

Properties
magnetic moment = 0.00 μB per cell
energy of formation = 28 meV per atom
energy above the most stable polymorph in this dataset = 0.239 eV per atom
VASP energy = -0.2508 Ry/atom

Cell lengths 7.945, 7.945, 7.945 Å; angles 90.00, 90.00, 90.00 degrees
Space group F-43m (No. 216)
Inequivalent atoms, fractional coordinates:
Ac  0.000  0.000  0.000 x4
Tb  0.250  0.250  0.750 x4
Sm  0.250  0.250  0.250 x4
Hg  0.000  0.000  0.500 x4

***

Q: Which formula does entry 4 have?
A: Ac4SmHg5

***

Q: Which of these has the lowest VASP energy?
A: number 7